Density functional theory data (PBEsol) for a geometry-optimized InSnAsBr2 structure.

POSCAR file:
```
InSnAsBr2
1.0
5.267 0.000 0.000
0.000 5.267 0.000
0.000 0.000 5.355
As Sn Br In
1 1 2 1
Direct
0.000 0.000 0.500 As
0.500 0.500 0.500 Sn
0.000 0.500 0.000 Br
0.500 0.000 0.000 Br
0.000 0.000 0.000 In
```

Values from the calculation:
total energy = -3.120 eV/atom
raw formation energy = 0.10 eV/atom
SG = P4/mmm, No. 123
density of states at the Fermi level = 0.4232 states/eV/atom

=====

Density functional theory data (PBEsol) for a geometry-optimized BaHf2Ni2 structure.

POSCAR file:
```
BaHf2Ni2
1.0
-0.048 -4.442 -0.482
4.401 0.036 -0.770
-1.259 1.627 5.846
Ni Hf Ba
2 2 1
Direct
0.372 0.372 0.744 Ni
0.628 0.628 0.256 Ni
0.250 0.750 0.500 Hf
0.750 0.250 0.500 Hf
0.000 0.000 0.000 Ba
```

Values from the calculation:
total energy = -7.116 eV/atom
SG = I4/mmm, No. 139
density of states at the Fermi level = 0.7115 states/eV/atom